Density functional theory data (PBE) for a relaxed structure of PmNd2Dy9.

Lattice parameters (Å, degrees): 5.0526 5.0526 15.1606 90.00 90.00 90.00
Element x y z (fractional)
Dy  0.0000  0.5000  0.1662
Dy  0.0000  0.5000  0.5000
Dy  0.5000  0.0000  0.5000
Dy  0.5000  0.5000  0.0000
Dy  0.0000  0.5000  0.8338
Dy  0.5000  0.5000  0.3330
Dy  0.5000  0.5000  0.6670
Dy  0.5000  0.0000  0.1662
Dy  0.5000  0.0000  0.8338
Nd  0.0000  0.0000  0.3333
Nd  0.0000  0.0000  0.6667
Pm  0.0000  0.0000  0.0000

Summary:
Energy of formation from the pure elements in eV per formula unit: 0.2
SG: P4/mmm (123)
Excess energy over the best structure of this formula in the dataset in eV per atom: 0.0000
VASP energy in eV/cell: -55.5